1.
Mn29H2 (PBE, optimized geometry); total magnetization = 0.282 μB/atom; theoretical density = 8.1 Mg/m³; energy = -8.802 eV/atom
1.0
4.345 -6.134 0.000
4.345 6.134 0.000
-4.335 0.000 6.134
Mn H
29 2
Cartesian
0.000 0.000 0.000
-1.270 1.963 3.770
1.609 2.258 0.004
-0.759 3.850 4.962
0.762 1.183 2.285
-1.870 0.000 5.039
3.578 3.848 1.186
1.300 2.342 4.175
-1.270 -1.963 3.770
-0.272 1.767 6.133
1.609 -2.258 0.004
0.762 -1.183 2.285
2.462 0.000 1.083
3.054 1.957 2.345
0.292 0.000 4.369
-0.272 -1.767 6.133
5.621 2.367 1.961
6.225 1.089 0.008
-0.759 -3.850 4.962
2.739 0.000 3.878
4.624 0.000 1.768
1.300 -2.342 4.175
3.054 -1.957 2.345
6.225 -1.089 0.008
5.126 1.175 3.848
3.578 -3.848 1.186
5.621 -2.367 1.961
5.126 -1.175 3.848
7.085 0.000 2.259
0.005 3.311 3.313
0.005 -3.311 3.313


2.
MnH (PBE, optimized geometry); total magnetization = 0.093 μB/atom; theoretical density = 6.5 Mg/m³; energy = -5.807 eV/atom
1.0
2.538 0.000 0.000
0.000 2.538 0.000
0.000 0.000 2.229
Mn H
1 1
Cartesian
0.000 0.000 0.000
1.269 1.269 0.000


3.
Mn4H5 (PBE, optimized geometry); offset from the most stable computed form = 0.00 eV per formula unit; total magnetization = 0.000 μB/atom; theoretical density = 6.9 Mg/m³; energy = -5.900 eV/atom
1.0
-3.205 3.205 1.324
3.205 -3.205 1.324
3.205 3.205 -1.324
Mn H
4 5
Cartesian
4.625 0.492 0.000
0.492 1.785 0.000
2.713 1.420 1.324
-1.420 2.713 1.324
0.000 0.000 0.000
3.874 2.023 0.000
2.023 2.536 0.000
1.182 0.669 1.324
-0.669 1.182 1.324


4.
MnH (PBE, optimized geometry); total magnetization = 0.338 μB/atom; theoretical density = 6.8 Mg/m³; energy = -6.121 eV/atom
1.0
0.000 2.689 3.794
2.668 0.000 3.794
2.668 2.689 0.000
Mn H
4 4
Cartesian
2.001 0.518 2.845
3.335 1.863 4.742
2.001 3.515 2.845
3.335 4.860 4.742
2.001 2.017 1.954
2.001 2.017 3.736
3.335 3.361 3.851
3.335 3.361 5.633


5.
MnH (PBE, optimized geometry); total magnetization = 1.060 μB/atom; theoretical density = 6.4 Mg/m³; energy = -6.027 eV/atom
1.0
2.577 0.000 0.000
-1.289 2.232 0.000
0.000 0.000 5.081
Mn H
2 2
Cartesian
0.000 0.000 0.000
0.000 0.000 2.541
0.000 1.488 1.270
1.289 0.744 3.811


6.
MnH (PBE, optimized geometry); total magnetization = 1.667 μB/atom; theoretical density = 4.6 Mg/m³; energy = -5.876 eV/atom
1.0
-2.718 2.718 2.718
2.718 -2.718 2.718
2.718 2.718 -2.718
Mn H
4 4
Cartesian
0.980 0.980 -0.980
0.980 -0.980 0.980
-0.980 0.980 0.980
1.738 1.738 1.738
1.955 1.955 -1.955
1.955 -1.955 1.955
0.763 0.763 0.763
-1.955 1.955 1.955


Question: Look up the total magnetization of the first one.
Answer: 0.282 μB/atom


Question: Which value of energy does entry 1 give?
Answer: -8.802 eV/atom


Question: Among the records above, which one has the lowest energy?
Answer: Mn29H2


Repeat the third record exactly.
Mn4H5 (PBE, optimized geometry); offset from the most stable computed form = 0.00 eV per formula unit; total magnetization = 0.000 μB/atom; theoretical density = 6.9 Mg/m³; energy = -5.900 eV/atom
1.0
-3.205 3.205 1.324
3.205 -3.205 1.324
3.205 3.205 -1.324
Mn H
4 5
Cartesian
4.625 0.492 0.000
0.492 1.785 0.000
2.713 1.420 1.324
-1.420 2.713 1.324
0.000 0.000 0.000
3.874 2.023 0.000
2.023 2.536 0.000
1.182 0.669 1.324
-0.669 1.182 1.324